# 1
## K2RbNa2 (PBE-GGA)

Data for K2RbNa2 after structural relaxation.

Cell lengths 7.634, 7.634, 6.631 Å; angles 115.68, 115.68, 87.54 degrees
Atoms (fractional coordinates):
K (0.204, 0.796, 0.000)
K (0.796, 0.204, 0.000)
Rb (0.500, 0.500, 0.500)
Na (0.196, 0.196, 0.696)
Na (0.804, 0.804, 0.304)

Summary:
excess energy over the best structure of this formula in the dataset: 11.7 meV per atom
N(E_F): 3.29 states/eV per cell
spin magnetization: 0.0 μB/f.u.
formation enthalpy at 0 K: 3 kJ per mole of atoms

# 2
## K3Rb6Na (PBE-GGA)

Data for K3Rb6Na after structural relaxation.

Cell lengths 17.547, 4.789, 20.066 Å; angles 90.00, 108.96, 90.00 degrees
Atoms (fractional coordinates):
K (0.013, 0.250, 0.392)
K (0.379, 0.250, 0.001)
K (0.466, 0.250, 0.586)
K (0.534, 0.750, 0.414)
K (0.621, 0.750, 0.999)
K (0.987, 0.750, 0.608)
Rb (0.129, 0.750, 0.034)
Rb (0.131, 0.250, 0.816)
Rb (0.214, 0.250, 0.599)
Rb (0.247, 0.750, 0.387)
Rb (0.344, 0.250, 0.219)
Rb (0.392, 0.750, 0.796)
Rb (0.608, 0.250, 0.204)
Rb (0.656, 0.750, 0.781)
Rb (0.753, 0.250, 0.613)
Rb (0.786, 0.750, 0.401)
Rb (0.869, 0.750, 0.184)
Rb (0.871, 0.250, 0.966)
Na (0.086, 0.250, 0.204)
Na (0.914, 0.750, 0.796)

Summary:
N(E_F): 14.89 states/eV per cell
spin magnetization: 0.0 μB/f.u.
formation enthalpy at 0 K: 2 kJ per mole of atoms